[1]
DFT (PBE-GGA) results for an optimized crystal structure of KHgPdI2.

Cell lengths 5.7066, 5.7066, 5.3616 Å; angles 90.00, 90.00, 90.00 degrees
Fractional coordinates of all 5 atoms:
K  0.0000  0.0000  0.0000
Hg  0.5000  0.5000  0.0000
Pd  0.5000  0.5000  0.5000
I  0.0000  0.5000  0.5000
I  0.5000  0.0000  0.5000

crystal system	tetragonal
spin magnetization	0.0	Bohr magnetons per cell
uncorrected formation energy	-0.602	eV per atom

---

[2]
DFT (PBE-GGA) results for an optimized crystal structure of K2HgPtI.

Cell lengths 6.1916, 6.1916, 5.2134 Å; angles 90.00, 90.00, 90.00 degrees
Fractional coordinates of all 5 atoms:
K  0.0000  0.5000  0.0000
K  0.5000  0.0000  0.0000
Hg  0.0000  0.0000  0.5000
Pt  0.0000  0.0000  0.0000
I  0.5000  0.5000  0.5000

crystal system	tetragonal
spin magnetization	0.1	Bohr magnetons per cell
uncorrected formation energy	-0.518	eV per atom

---

[3]
DFT (PBE-GGA) results for an optimized crystal structure of KHgPtI2.

Cell lengths 5.7117, 5.7117, 5.3096 Å; angles 90.00, 90.00, 90.00 degrees
Fractional coordinates of all 5 atoms:
K  0.0000  0.0000  0.0000
Hg  0.5000  0.5000  0.0000
Pt  0.5000  0.5000  0.5000
I  0.0000  0.5000  0.5000
I  0.5000  0.0000  0.5000

crystal system	tetragonal
spin magnetization	0.0	Bohr magnetons per cell
uncorrected formation energy	-0.507	eV per atom

---

[4]
DFT (PBE-GGA) results for an optimized crystal structure of KHg2PtI.

Cell lengths 6.2468, 6.2468, 6.1024 Å; angles 90.00, 90.00, 90.00 degrees
Fractional coordinates of all 5 atoms:
K  0.0000  0.0000  0.0000
Hg  0.0000  0.5000  0.0000
Hg  0.5000  0.0000  0.0000
Pt  0.0000  0.0000  0.5000
I  0.5000  0.5000  0.5000

crystal system	tetragonal
spin magnetization	1.8	Bohr magnetons per cell
uncorrected formation energy	0.692	eV per atom

---

[5]
DFT (PBE-GGA) results for an optimized crystal structure of KPuHgI6.

Cell lengths 8.0086, 8.0086, 15.3350 Å; angles 90.00, 90.00, 120.00 degrees
Fractional coordinates of all 18 atoms:
K  0.0000  0.0000  0.0000
K  0.0000  0.0000  0.5000
Pu  0.3333  0.6667  0.2500
Pu  0.6667  0.3333  0.7500
Hg  0.3333  0.6667  0.7500
Hg  0.6667  0.3333  0.2500
I  0.0014  0.3700  0.6347
I  0.0014  0.6314  0.8653
I  0.3686  0.3700  0.8653
I  0.3686  0.9986  0.6347
I  0.3700  0.0014  0.1347
I  0.3700  0.3686  0.3653
I  0.6300  0.6314  0.6347
I  0.6300  0.9986  0.8653
I  0.6314  0.0014  0.3653
I  0.6314  0.6300  0.1347
I  0.9986  0.3686  0.1347
I  0.9986  0.6300  0.3653

crystal system	trigonal
spin magnetization	10.0	Bohr magnetons per cell
uncorrected formation energy	-0.857	eV per atom

---

[6]
DFT (PBE-GGA) results for an optimized crystal structure of KPu2HgI8.

Cell lengths 7.5241, 9.3630, 7.9669 Å; angles 90.00, 94.33, 90.00 degrees
Fractional coordinates of all 12 atoms:
K  0.0000  0.0000  0.0000
Pu  0.5000  0.2549  0.5000
Pu  0.5000  0.7451  0.5000
Hg  0.0000  0.5000  0.0000
I  0.2629  0.2689  0.1681
I  0.2629  0.7311  0.1681
I  0.2667  0.5000  0.6362
I  0.2768  0.0000  0.6345
I  0.7232  0.0000  0.3655
I  0.7333  0.5000  0.3638
I  0.7371  0.2689  0.8319
I  0.7371  0.7311  0.8319

crystal system	monoclinic
spin magnetization	10.4	Bohr magnetons per cell
uncorrected formation energy	-0.932	eV per atom

---

[7]
DFT (PBE-GGA) results for an optimized crystal structure of KRb2Hg2I6.

Cell lengths 8.5398, 8.5398, 9.7948 Å; angles 113.02, 113.02, 62.94 degrees
Fractional coordinates of all 11 atoms:
K  0.0000  0.0000  0.0000
Rb  0.2217  0.2217  0.6911
Rb  0.7783  0.7783  0.3089
Hg  0.4706  0.4706  0.3399
Hg  0.5294  0.5294  0.6601
I  0.1497  0.6939  0.6710
I  0.2656  0.2656  0.0957
I  0.3061  0.8503  0.3290
I  0.6939  0.1497  0.6710
I  0.7344  0.7344  0.9043
I  0.8503  0.3061  0.3290

crystal system	monoclinic
spin magnetization	0.0	Bohr magnetons per cell
uncorrected formation energy	-0.872	eV per atom

---

[8]
DFT (PBE-GGA) results for an optimized crystal structure of K3Rb3HgI8.

Cell lengths 10.3266, 10.3266, 10.3266 Å; angles 58.94, 58.94, 58.94 degrees
Fractional coordinates of all 15 atoms:
K  0.0000  0.5000  0.5000
K  0.5000  0.0000  0.5000
K  0.5000  0.5000  0.0000
Rb  0.0000  0.0000  0.5000
Rb  0.0000  0.5000  0.0000
Rb  0.5000  0.0000  0.0000
Hg  0.0000  0.0000  0.0000
I  0.2156  0.2156  0.7781
I  0.2156  0.7781  0.2156
I  0.2219  0.7844  0.7844
I  0.2540  0.2540  0.2540
I  0.7460  0.7460  0.7460
I  0.7781  0.2156  0.2156
I  0.7844  0.2219  0.7844
I  0.7844  0.7844  0.2219

crystal system	trigonal
spin magnetization	0.0	Bohr magnetons per cell
uncorrected formation energy	-1.226	eV per atom

---

[9]
DFT (PBE-GGA) results for an optimized crystal structure of KRbHgI4.

Cell lengths 8.2792, 8.4369, 10.0616 Å; angles 90.00, 107.50, 90.00 degrees
Fractional coordinates of all 14 atoms:
K  0.2297  0.2500  0.0589
K  0.7703  0.7500  0.9411
Rb  0.2365  0.2500  0.5571
Rb  0.7635  0.7500  0.4429
Hg  0.2303  0.7500  0.8129
Hg  0.7697  0.2500  0.1871
I  0.0059  0.5091  0.2448
I  0.0059  0.9909  0.2448
I  0.4220  0.7500  0.6216
I  0.4324  0.7500  0.0944
I  0.5676  0.2500  0.9056
I  0.5780  0.2500  0.3784
I  0.9941  0.0091  0.7552
I  0.9941  0.4909  0.7552

crystal system	monoclinic
spin magnetization	0.0	Bohr magnetons per cell
uncorrected formation energy	-0.983	eV per atom

---

[10]
DFT (PBE-GGA) results for an optimized crystal structure of K3RbHg4I12.

Cell lengths 10.8637, 10.8637, 10.8637 Å; angles 102.64, 102.64, 102.64 degrees
Fractional coordinates of all 20 atoms:
K  0.0000  0.5376  0.4624
K  0.4624  0.0000  0.5376
K  0.5376  0.4624  0.0000
Rb  0.0000  0.0000  0.0000
Hg  0.0505  0.5000  0.9495
Hg  0.5000  0.5000  0.5000
Hg  0.5000  0.9495  0.0505
Hg  0.9495  0.0505  0.5000
I  0.0506  0.6777  0.8031
I  0.1129  0.8870  0.5000
I  0.1969  0.3223  0.9494
I  0.3223  0.9494  0.1969
I  0.3380  0.6620  0.5000
I  0.5000  0.1129  0.8871
I  0.5000  0.3380  0.6620
I  0.6620  0.5000  0.3380
I  0.6777  0.8031  0.0506
I  0.8031  0.0506  0.6777
I  0.8871  0.5000  0.1129
I  0.9494  0.1969  0.3223

crystal system	trigonal
spin magnetization	0.0	Bohr magnetons per cell
uncorrected formation energy	-0.744	eV per atom

---

[11]
DFT (PBE-GGA) results for an optimized crystal structure of K2RbHgI.

Cell lengths 6.7946, 6.7946, 7.1585 Å; angles 90.00, 90.00, 90.00 degrees
Fractional coordinates of all 5 atoms:
K  0.0000  0.5000  0.0000
K  0.5000  0.0000  0.0000
Rb  0.0000  0.0000  0.5000
Hg  0.5000  0.5000  0.5000
I  0.0000  0.0000  0.0000

crystal system	tetragonal
spin magnetization	0.0	Bohr magnetons per cell
uncorrected formation energy	-0.490	eV per atom